{"formula": "ZnCd2Si2", "functional": "PBE", "state": "relaxed", "cell": [[3.4327, 0.0000, 0.0000], [0.0000, 3.4327, 0.0000], [1.7163, 1.7163, 8.4138]], "species": ["Zn", "Si", "Si", "Cd", "Cd"], "fractional_positions": [[0.0000, 0.0000, 0.0000], [0.7500, 0.2500, 0.5000], [0.2500, 0.7500, 0.5000], [0.3991, 0.3991, 0.2019], [0.6009, 0.6009, 0.7981]], "crystal_system": "tetragonal", "de_polymorph_ev_per_atom": 0.000, "raw_formation_energy_ev_per_atom": 0.281, "n_ef_per_ev_cell": 2.28}

{"formula": "AcNd5Te8", "functional": "PBE", "state": "relaxed", "cell": [[8.3617, 0.0920, -0.1582], [-2.7427, 7.8996, 0.1582], [-2.8763, -3.9488, 6.7886]], "species": ["Ac", "Nd", "Nd", "Nd", "Nd", "Nd", "Te", "Te", "Te", "Te", "Te", "Te", "Te", "Te"], "fractional_positions": [[0.2500, 0.5000, 0.7500], [0.0255, 0.3976, 0.1230], [0.8770, 0.9026, 0.2746], [0.7254, 0.6024, 0.6279], [0.5000, 0.0000, 0.5000], [0.3721, 0.0974, 0.9745], [0.1203, 0.7570, 0.0265], [0.9735, 0.0938, 0.7305], [0.7646, 0.2547, 0.3749], [0.6251, 0.3897, 0.8798], [0.4901, 0.6103, 0.2354], [0.6367, 0.9062, 0.8797], [0.2695, 0.2430, 0.3633], [0.1202, 0.7453, 0.5099]], "crystal_system": "tetragonal", "raw_formation_energy_ev_per_atom": -1.449, "n_ef_per_ev_cell": 7.63}